1.
! AgTeI (PBE, optimized geometry); values from VASP
&SYSTEM
  ibrav = 0, nat = 6, ntyp = 3
/
ATOMIC_SPECIES
I 126.90 I.upf
Ag 107.87 Ag.upf
Te 127.60 Te.upf
CELL_PARAMETERS angstrom
-4.381 -0.120 2.705
-2.860 -4.115 -3.962
0.517 -6.249 3.202
ATOMIC_POSITIONS angstrom
I -4.402 -3.306 1.769
I -1.919 -6.180 3.646
Ag -6.568 -9.309 1.677
Ag -1.707 -4.477 1.230
Te -5.786 -5.457 -0.167
Te -2.678 -6.443 -0.708
! Crystal system: triclinic
! Space-group type: P1 (1)

***

2.
! AgTe2I (PBE, optimized geometry); values from VASP
&SYSTEM
  ibrav = 0, nat = 4, ntyp = 3
/
ATOMIC_SPECIES
I 126.90 I.upf
Ag 107.87 Ag.upf
Te 127.60 Te.upf
CELL_PARAMETERS angstrom
7.402 -2.076 4.844
8.986 -0.014 1.350
7.429 2.277 4.711
ATOMIC_POSITIONS angstrom
I 0.000 0.000 0.000
Ag 11.909 0.093 5.452
Te 2.705 0.021 1.238
Te 21.113 0.165 9.667
! Crystal system: trigonal
! Space-group type: R-3m (166)

***

3.
! AgTeI6 (PBE, optimized geometry); values from VASP
&SYSTEM
  ibrav = 0, nat = 8, ntyp = 3
/
ATOMIC_SPECIES
Ag 107.87 Ag.upf
I 126.90 I.upf
Te 127.60 Te.upf
CELL_PARAMETERS angstrom
-6.639 -1.508 2.499
-0.776 -3.517 7.068
-2.648 3.956 6.702
ATOMIC_POSITIONS angstrom
Ag -5.031 -0.535 8.135
I -5.278 -0.314 11.598
I -4.784 -0.755 4.671
I -3.055 -2.482 8.756
I -2.901 1.357 8.188
I -7.007 1.413 7.514
I -7.161 -2.426 8.081
Te 0.000 0.000 0.000
! Offset from the most stable computed form, meV/atom: 0.0
! Crystal system: triclinic
! Space-group type: P-1 (2)

***

no.,ΔE_f (raw) (eV/atom)
1,-0.028
2,0.057
3,-0.027